Material: Cs2DyMn3F12
Method: DFT, PBE+U
State: optimized geometry

Cell lengths 7.9205, 7.9205, 7.9205 Å; angles 58.01, 58.01, 58.01 degrees
Site moments in Bohr magnetons follow the coordinates.
Positions (direct):
Cs: 0.6163 0.6163 0.6163  0.00
Cs: 0.3837 0.3837 0.3837  0.00
Dy: 0.0000 0.0000 0.0000  0.02
Mn: 0.5000 0.0000 0.0000  4.46
Mn: 0.0000 0.5000 0.0000  4.46
Mn: 0.0000 0.0000 0.5000  4.46
F: 0.3068 0.3068 0.9254  0.00
F: 0.9191 0.9191 0.3385  0.02
F: 0.3385 0.9191 0.9191  0.02
F: 0.9254 0.3068 0.3068  0.00
F: 0.9191 0.3385 0.9191  0.02
F: 0.3068 0.9254 0.3068  0.00
F: 0.6932 0.6932 0.0746  0.00
F: 0.0809 0.0809 0.6615  0.02
F: 0.6615 0.0809 0.0809  0.02
F: 0.0746 0.6932 0.6932  0.00
F: 0.0809 0.6615 0.0809  0.02
F: 0.6932 0.0746 0.6932  0.00

Density (g cm⁻³): 4.1
Fermi-level density of states (states/eV/cell): 0.33
Final energy (eV per atom): -5.874